Entry from Alexandria via LeMat-Bulk: Tb3HgPt after structural relaxation (PBE).

Unit cell a=4.712 b=6.901 c=8.484 alpha=90.00 beta=90.00 gamma=90.00
Atoms (fractional coordinates):
1 Tb 0.250 0.001 0.162
2 Tb 0.250 0.250 0.556
3 Tb 0.250 0.499 0.162
4 Tb 0.750 0.501 0.838
5 Tb 0.750 0.750 0.444
6 Tb 0.750 0.999 0.838
7 Hg 0.250 0.750 0.675
8 Hg 0.750 0.250 0.325
9 Pt 0.250 0.250 0.892
10 Pt 0.750 0.750 0.108

## Properties
Calculated total energy, eV/cell: -47.2
Energy of formation, eV per formula unit: -3.37
DOS(E_F), states/eV/cell: 11.150
V, Å³/atom: 27.59
Symmetry: No. 59

Entry from Alexandria via LeMat-Bulk: Tb3Hg2Pt after structural relaxation (PBE).

Unit cell a=7.946 b=7.946 c=7.863 alpha=104.28 beta=104.28 gamma=43.97
Atoms (fractional coordinates):
1 Tb 0.001 0.999 0.750
2 Tb 0.362 0.363 0.932
3 Tb 0.363 0.362 0.432
4 Tb 0.637 0.638 0.568
5 Tb 0.638 0.637 0.068
6 Tb 0.999 0.001 0.250
7 Hg 0.186 0.186 0.094
8 Hg 0.186 0.186 0.594
9 Hg 0.814 0.814 0.406
10 Hg 0.814 0.814 0.906
11 Pt 0.499 0.501 0.250
12 Pt 0.501 0.499 0.750

## Properties
Calculated total energy, eV/cell: -48.5
Energy of formation, eV per formula unit: -3.73
DOS(E_F), states/eV/cell: 9.066
V, Å³/atom: 27.69
Symmetry: No. 15

Entry from Alexandria via LeMat-Bulk: Tb8Hg2Pt after structural relaxation (PBE).

Unit cell a=9.364 b=9.364 c=6.842 alpha=101.61 beta=101.61 gamma=32.00
Atoms (fractional coordinates):
1 Tb 0.023 0.023 0.274
2 Tb 0.204 0.204 0.820
3 Tb 0.346 0.346 0.532
4 Tb 0.412 0.412 0.059
5 Tb 0.588 0.588 0.941
6 Tb 0.654 0.654 0.468
7 Tb 0.796 0.796 0.180
8 Tb 0.977 0.977 0.726
9 Hg 0.190 0.190 0.243
10 Hg 0.810 0.810 0.757
11 Pt 0.500 0.500 0.500

## Properties
Calculated total energy, eV/cell: -47.9
Energy of formation, eV per formula unit: -4.26
DOS(E_F), states/eV/cell: 9.511
V, Å³/atom: 28.26
Symmetry: No. 12

Entry from Alexandria via LeMat-Bulk: Tb3HgPt2 after structural relaxation (PBE).

Unit cell a=5.107 b=15.132 c=3.559 alpha=90.00 beta=90.00 gamma=90.00
Atoms (fractional coordinates):
1 Tb 0.000 0.000 0.000
2 Tb 0.000 0.323 0.000
3 Tb 0.000 0.677 0.000
4 Tb 0.500 0.177 0.000
5 Tb 0.500 0.500 0.000
6 Tb 0.500 0.823 0.000
7 Hg 0.000 0.500 0.500
8 Hg 0.500 0.000 0.500
9 Pt 0.000 0.160 0.500
10 Pt 0.000 0.840 0.500
11 Pt 0.500 0.340 0.500
12 Pt 0.500 0.660 0.500

## Properties
Calculated total energy, eV/cell: -63.9
Energy of formation, eV per formula unit: -5.69
DOS(E_F), states/eV/cell: 8.410
V, Å³/atom: 22.92
Symmetry: No. 65

Entry from Alexandria via LeMat-Bulk: Tb8Hg2Pt after structural relaxation (PBE).

Unit cell a=8.720 b=8.720 c=8.720 alpha=146.68 beta=122.01 gamma=68.55
Atoms (fractional coordinates):
1 Tb 0.116 0.342 0.774
2 Tb 0.121 0.121 0.000
3 Tb 0.323 0.000 0.323
4 Tb 0.431 0.658 0.774
5 Tb 0.569 0.342 0.226
6 Tb 0.677 0.000 0.677
7 Tb 0.879 0.879 0.000
8 Tb 0.884 0.658 0.226
9 Hg 0.300 0.800 0.500
10 Hg 0.700 0.200 0.500
11 Pt 0.000 0.500 0.500

## Properties
Calculated total energy, eV/cell: -46.7
Energy of formation, eV per formula unit: -2.99
DOS(E_F), states/eV/cell: 12.338
V, Å³/atom: 27.69
Symmetry: No. 71

Entry from Alexandria via LeMat-Bulk: Tb5Hg2Pt2 after structural relaxation (PBE).

Unit cell a=8.764 b=8.764 c=7.735 alpha=90.00 beta=90.00 gamma=52.16
Atoms (fractional coordinates):
1 Tb 0.000 0.000 0.000
2 Tb 0.049 0.705 0.669
3 Tb 0.205 0.549 0.169
4 Tb 0.295 0.951 0.669
5 Tb 0.451 0.795 0.169
6 Tb 0.500 0.500 0.500
7 Tb 0.549 0.205 0.831
8 Tb 0.705 0.049 0.331
9 Tb 0.795 0.451 0.831
10 Tb 0.951 0.295 0.331
11 Hg 0.213 0.213 0.000
12 Hg 0.287 0.287 0.500
13 Hg 0.713 0.713 0.500
14 Hg 0.787 0.787 0.000
15 Pt 0.131 0.869 0.366
16 Pt 0.369 0.631 0.866
17 Pt 0.631 0.369 0.134
18 Pt 0.869 0.131 0.634

## Properties
Calculated total energy, eV/cell: -85.9
Energy of formation, eV per formula unit: -7.11
DOS(E_F), states/eV/cell: 15.813
V, Å³/atom: 26.07
Symmetry: No. 64

Entry from Alexandria via LeMat-Bulk: TbHgPt2 after structural relaxation (PBE).

Unit cell a=6.822 b=6.822 c=6.822 alpha=90.00 beta=90.00 gamma=90.00
Atoms (fractional coordinates):
1 Tb 0.000 0.000 0.000
2 Tb 0.000 0.500 0.500
3 Tb 0.500 0.000 0.500
4 Tb 0.500 0.500 0.000
5 Hg 0.000 0.000 0.500
6 Hg 0.000 0.500 0.000
7 Hg 0.500 0.000 0.000
8 Hg 0.500 0.500 0.500
9 Pt 0.250 0.250 0.250
10 Pt 0.250 0.250 0.750
11 Pt 0.250 0.750 0.250
12 Pt 0.250 0.750 0.750
13 Pt 0.750 0.250 0.250
14 Pt 0.750 0.250 0.750
15 Pt 0.750 0.750 0.250
16 Pt 0.750 0.750 0.750

## Properties
Calculated total energy, eV/cell: -79.6
Energy of formation, eV per formula unit: -2.89
DOS(E_F), states/eV/cell: 5.547
V, Å³/atom: 19.84
Symmetry: No. 225

Entry from Alexandria via LeMat-Bulk: Tb6HgPt after structural relaxation (PBE).

Unit cell a=6.996 b=7.011 c=7.373 alpha=90.29 beta=117.98 gamma=119.79
Atoms (fractional coordinates):
1 Tb 0.027 0.074 0.253
2 Tb 0.299 0.725 0.253
3 Tb 0.317 0.545 0.747
4 Tb 0.683 0.455 0.253
5 Tb 0.701 0.275 0.747
6 Tb 0.973 0.926 0.747
7 Hg 0.500 0.000 0.000
8 Pt 0.500 0.500 0.500

## Properties
Calculated total energy, eV/cell: -35.8
Energy of formation, eV per formula unit: -1.68
DOS(E_F), states/eV/cell: 12.076
V, Å³/atom: 32.93
Symmetry: No. 2

Entry from Alexandria via LeMat-Bulk: Tb3Hg3Pt2 after structural relaxation (PBE).

Unit cell a=7.700 b=7.700 c=3.653 alpha=90.00 beta=90.00 gamma=120.00
Atoms (fractional coordinates):
1 Tb 0.000 0.419 0.000
2 Tb 0.419 0.000 0.000
3 Tb 0.581 0.581 0.000
4 Hg 0.000 0.770 0.500
5 Hg 0.230 0.230 0.500
6 Hg 0.770 0.000 0.500
7 Pt 0.333 0.667 0.500
8 Pt 0.667 0.333 0.500

## Properties
Calculated total energy, eV/cell: -33.6
Energy of formation, eV per formula unit: -6.68
DOS(E_F), states/eV/cell: 4.941
V, Å³/atom: 23.44
Symmetry: No. 189

Entry from Alexandria via LeMat-Bulk: Tb3HgPt8 after structural relaxation (PBE).

Unit cell a=9.420 b=9.420 c=9.420 alpha=33.50 beta=33.50 gamma=33.50
Atoms (fractional coordinates):
1 Tb 0.000 0.000 0.000
2 Tb 0.129 0.129 0.129
3 Tb 0.614 0.614 0.614
4 Hg 0.493 0.493 0.493
5 Pt 0.056 0.559 0.559
6 Pt 0.059 0.059 0.565
7 Pt 0.059 0.565 0.059
8 Pt 0.310 0.310 0.310
9 Pt 0.559 0.056 0.559
10 Pt 0.559 0.559 0.056
11 Pt 0.565 0.059 0.059
12 Pt 0.810 0.810 0.810

## Properties
Calculated total energy, eV/cell: -74.0
Energy of formation, eV per formula unit: -11.53
DOS(E_F), states/eV/cell: 6.090
V, Å³/atom: 18.90
Symmetry: No. 160

Entry from Alexandria via LeMat-Bulk: Tb4Hg5Pt2 after structural relaxation (PBE).

Unit cell a=7.702 b=3.619 c=9.710 alpha=90.00 beta=93.93 gamma=90.00
Atoms (fractional coordinates):
1 Tb 0.178 0.000 0.353
2 Tb 0.225 0.000 0.940
3 Tb 0.775 0.000 0.060
4 Tb 0.822 0.000 0.647
5 Hg 0.171 0.500 0.640
6 Hg 0.459 0.500 0.172
7 Hg 0.500 0.500 0.500
8 Hg 0.541 0.500 0.828
9 Hg 0.829 0.500 0.360
10 Pt 0.074 0.500 0.138
11 Pt 0.926 0.500 0.862

## Properties
Calculated total energy, eV/cell: -39.8
Energy of formation, eV per formula unit: -7.67
DOS(E_F), states/eV/cell: 7.696
V, Å³/atom: 24.55
Symmetry: No. 10

Entry from Alexandria via LeMat-Bulk: TbHgPt2 after structural relaxation (PBE).

Unit cell a=4.426 b=4.426 c=4.000 alpha=90.00 beta=90.00 gamma=90.00
Atoms (fractional coordinates):
1 Tb 0.000 0.000 0.000
2 Hg 0.500 0.500 0.000
3 Pt 0.000 0.500 0.500
4 Pt 0.500 0.000 0.500

## Properties
Calculated total energy, eV/cell: -19.7
Energy of formation, eV per formula unit: -2.72
DOS(E_F), states/eV/cell: 2.368
V, Å³/atom: 19.59
Symmetry: No. 123

Entry from Alexandria via LeMat-Bulk: Tb6Hg3Pt after structural relaxation (PBE).

Unit cell a=9.730 b=5.027 c=12.031 alpha=90.00 beta=113.64 gamma=90.00
Atoms (fractional coordinates):
1 Tb 0.016 0.250 0.397
2 Tb 0.180 0.750 0.210
3 Tb 0.232 0.250 0.026
4 Tb 0.368 0.250 0.654
5 Tb 0.383 0.750 0.872
6 Tb 0.412 0.250 0.381
7 Tb 0.588 0.750 0.619
8 Tb 0.617 0.250 0.128
9 Tb 0.632 0.750 0.346
10 Tb 0.768 0.750 0.974
11 Tb 0.820 0.250 0.790
12 Tb 0.984 0.750 0.603
13 Hg 0.030 0.750 0.878
14 Hg 0.127 0.250 0.748
15 Hg 0.242 0.750 0.487
16 Hg 0.758 0.250 0.513
17 Hg 0.873 0.750 0.252
18 Hg 0.970 0.250 0.122
19 Pt 0.407 0.750 0.113
20 Pt 0.593 0.250 0.887

## Properties
Calculated total energy, eV/cell: -79.9
Energy of formation, eV per formula unit: -5.24
DOS(E_F), states/eV/cell: 17.962
V, Å³/atom: 26.95
Symmetry: No. 11

Entry from Alexandria via LeMat-Bulk: Tb3Hg2Pt after structural relaxation (PBE).

Unit cell a=3.643 b=3.643 c=11.084 alpha=90.00 beta=90.00 gamma=90.00
Atoms (fractional coordinates):
1 Tb 0.000 0.000 0.000
2 Tb 0.000 0.000 0.351
3 Tb 0.000 0.000 0.649
4 Hg 0.500 0.500 0.169
5 Hg 0.500 0.500 0.831
6 Pt 0.500 0.500 0.500

## Properties
Calculated total energy, eV/cell: -24.9
Energy of formation, eV per formula unit: -4.38
DOS(E_F), states/eV/cell: 4.154
V, Å³/atom: 24.51
Symmetry: No. 123

Entry from Alexandria via LeMat-Bulk: Tb2HgPt9 after structural relaxation (PBE).

Unit cell a=4.112 b=4.112 c=12.332 alpha=90.00 beta=90.00 gamma=90.00
Atoms (fractional coordinates):
1 Tb 0.000 0.000 0.169
2 Tb 0.000 0.000 0.831
3 Hg 0.000 0.000 0.500
4 Pt 0.000 0.500 0.000
5 Pt 0.000 0.500 0.335
6 Pt 0.000 0.500 0.665
7 Pt 0.500 0.000 0.000
8 Pt 0.500 0.000 0.335
9 Pt 0.500 0.000 0.665
10 Pt 0.500 0.500 0.168
11 Pt 0.500 0.500 0.500
12 Pt 0.500 0.500 0.832

## Properties
Calculated total energy, eV/cell: -71.8
Energy of formation, eV per formula unit: -7.91
DOS(E_F), states/eV/cell: 13.120
V, Å³/atom: 17.37
Symmetry: No. 123

Entry from Alexandria via LeMat-Bulk: TbHgPt2 after structural relaxation (PBE).

Unit cell a=3.636 b=3.636 c=6.008 alpha=90.00 beta=90.00 gamma=90.00
Atoms (fractional coordinates):
1 Tb 0.000 0.000 0.000
2 Hg 0.000 0.000 0.500
3 Pt 0.500 0.500 0.256
4 Pt 0.500 0.500 0.744

## Properties
Calculated total energy, eV/cell: -20.0
Energy of formation, eV per formula unit: -2.94
DOS(E_F), states/eV/cell: 1.263
V, Å³/atom: 19.85
Symmetry: No. 123

Entry from Alexandria via LeMat-Bulk: Tb5HgPt2 after structural relaxation (PBE).

Unit cell a=8.670 b=8.670 c=8.670 alpha=125.72 beta=125.72 gamma=80.34
Atoms (fractional coordinates):
1 Tb 0.000 0.000 0.000
2 Tb 0.022 0.522 0.820
3 Tb 0.202 0.022 0.500
4 Tb 0.298 0.798 0.820
5 Tb 0.478 0.298 0.500
6 Tb 0.500 0.500 0.000
7 Tb 0.522 0.702 0.500
8 Tb 0.702 0.202 0.180
9 Tb 0.798 0.978 0.500
10 Tb 0.978 0.478 0.180
11 Hg 0.250 0.250 0.000
12 Hg 0.750 0.750 0.000
13 Pt 0.136 0.364 0.500
14 Pt 0.364 0.864 0.228
15 Pt 0.636 0.136 0.772
16 Pt 0.864 0.636 0.500

## Properties
Calculated total energy, eV/cell: -84.0
Energy of formation, eV per formula unit: -6.49
DOS(E_F), states/eV/cell: 17.682
V, Å³/atom: 25.90
Symmetry: No. 140

Entry from Alexandria via LeMat-Bulk: TbThHgPt after structural relaxation (PBE).

Unit cell a=7.355 b=7.355 c=7.355 alpha=90.00 beta=90.00 gamma=90.00
Atoms (fractional coordinates):
1 Tb 0.000 0.000 0.000
2 Tb 0.000 0.500 0.500
3 Tb 0.500 0.000 0.500
4 Tb 0.500 0.500 0.000
5 Th 0.000 0.000 0.500
6 Th 0.000 0.500 0.000
7 Th 0.500 0.000 0.000
8 Th 0.500 0.500 0.500
9 Hg 0.250 0.250 0.250
10 Hg 0.250 0.750 0.750
11 Hg 0.750 0.250 0.750
12 Hg 0.750 0.750 0.250
13 Pt 0.250 0.250 0.750
14 Pt 0.250 0.750 0.250
15 Pt 0.750 0.250 0.250
16 Pt 0.750 0.750 0.750

## Properties
Calculated total energy, eV/cell: -84.1
Energy of formation, eV per formula unit: -2.63
DOS(E_F), states/eV/cell: 16.352
V, Å³/atom: 24.86
Symmetry: No. 216

Entry from Alexandria via LeMat-Bulk: TbTmHgPt after structural relaxation (PBE).

Unit cell a=7.172 b=7.172 c=7.172 alpha=90.00 beta=90.00 gamma=90.00
Atoms (fractional coordinates):
1 Tb 0.000 0.000 0.000
2 Tb 0.000 0.500 0.500
3 Tb 0.500 0.000 0.500
4 Tb 0.500 0.500 0.000
5 Tm 0.000 0.000 0.500
6 Tm 0.000 0.500 0.000
7 Tm 0.500 0.000 0.000
8 Tm 0.500 0.500 0.500
9 Hg 0.250 0.250 0.250
10 Hg 0.250 0.750 0.750
11 Hg 0.750 0.250 0.750
12 Hg 0.750 0.750 0.250
13 Pt 0.250 0.250 0.750
14 Pt 0.250 0.750 0.250
15 Pt 0.750 0.250 0.250
16 Pt 0.750 0.750 0.750

## Properties
Calculated total energy, eV/cell: -75.0
Energy of formation, eV per formula unit: -3.31
DOS(E_F), states/eV/cell: 9.717
V, Å³/atom: 23.06
Symmetry: No. 216

Entry from Alexandria via LeMat-Bulk: TbTmHgPt after structural relaxation (PBE).

Unit cell a=3.547 b=3.547 c=7.387 alpha=90.00 beta=90.00 gamma=90.00
Atoms (fractional coordinates):
1 Tb 0.000 0.000 0.000
2 Tm 0.000 0.000 0.551
3 Hg 0.500 0.500 0.282
4 Pt 0.500 0.500 0.765

## Properties
Calculated total energy, eV/cell: -19.0
Energy of formation, eV per formula unit: -3.51
DOS(E_F), states/eV/cell: 2.683
V, Å³/atom: 23.24
Symmetry: No. 99